No. 1
DyTmZnRu: relaxed, GGA-PBE.

SG   No. 99
Raw total energy   -5.337 eV per atom
Calculated volume   21.0 A^3/atom
Energy relative to the lowest polymorph listed for this composition   0 meV per atom
Energy relative to the elements   -42 kJ/mol of atoms

Unit cell a=3.420 b=3.420 c=7.194 alpha=90.00 beta=90.00 gamma=90.00
Element x y z (fractional)
Dy 0.000 0.000 0.878
Tm 0.000 0.000 0.337
Zn 0.500 0.500 0.601
Ru 0.500 0.500 0.112

No. 2
Dy4URu4: relaxed, GGA-PBE.

SG   No. 13
Raw total energy   -7.789 eV per atom
Calculated volume   23.0 A^3/atom
Energy relative to the elements   -35 kJ/mol of atoms

Unit cell a=5.755 b=9.129 c=7.966 alpha=81.45 beta=90.00 gamma=90.00
Element x y z (fractional)
Dy 0.131 0.580 0.167
Dy 0.131 0.920 0.333
Dy 0.634 0.811 0.019
Dy 0.634 0.689 0.481
Dy 0.869 0.420 0.833
Dy 0.869 0.080 0.667
Dy 0.366 0.189 0.981
Dy 0.366 0.311 0.519
U 0.806 0.250 0.250
U 0.194 0.750 0.750
Ru 0.137 0.609 0.527
Ru 0.137 0.891 0.973
Ru 0.618 0.485 0.156
Ru 0.618 0.015 0.344
Ru 0.863 0.391 0.473
Ru 0.863 0.109 0.027
Ru 0.382 0.515 0.844
Ru 0.382 0.985 0.656

No. 3
Dy5URu6: relaxed, GGA-PBE.

SG   No. 71
Raw total energy   -7.916 eV per atom
Calculated volume   19.7 A^3/atom
Energy relative to the elements   -41 kJ/mol of atoms

Unit cell a=4.880 b=6.846 c=8.220 alpha=65.39 beta=72.74 gamma=90.00
Element x y z (fractional)
Ru 0.847 0.620 0.305
Ru 0.847 0.075 0.305
Ru 0.500 0.773 0.000
Ru 0.500 0.227 0.000
Ru 0.153 0.925 0.695
Ru 0.153 0.380 0.695
U 0.000 0.000 0.000
Dy 0.676 0.176 0.649
Dy 0.337 0.337 0.326
Dy 0.000 0.500 0.000
Dy 0.663 0.663 0.674
Dy 0.324 0.824 0.351

No. 4
Dy3U2Ru6: relaxed, GGA-PBE.

SG   No. 229
Raw total energy   -8.701 eV per atom
Calculated volume   19.7 A^3/atom
Energy relative to the elements   -32 kJ/mol of atoms

Unit cell a=8.256 b=8.256 c=8.256 alpha=109.47 beta=109.47 gamma=109.47
Last column: magnetic moment on the atom in μB.
Element x y z (fractional)
Dy 0.712 0.000 0.712  0.01
Dy 0.288 0.000 0.288  0.01
Dy 0.000 0.288 0.288  0.01
Dy 0.000 0.712 0.712  0.01
Dy 0.288 0.288 0.000  0.01
Dy 0.712 0.712 0.000  0.01
U 0.000 0.500 0.000  0.48
U 0.500 0.000 0.000  0.48
U 0.000 0.000 0.500  0.48
U 0.500 0.500 0.500  0.48
Ru 0.654 0.307 0.654  -0.05
Ru 0.654 0.000 0.346  -0.05
Ru 0.346 0.000 0.654  -0.05
Ru 0.346 0.693 0.346  -0.05
Ru 0.000 0.654 0.346  -0.05
Ru 0.693 0.346 0.346  -0.05
Ru 0.307 0.654 0.654  -0.05
Ru 0.000 0.346 0.654  -0.05
Ru 0.346 0.654 0.000  -0.05
Ru 0.654 0.654 0.307  -0.05
Ru 0.346 0.346 0.693  -0.05
Ru 0.654 0.346 0.000  -0.05

No. 5
Dy2U2Ru3: relaxed, GGA-PBE.

SG   No. 12
Raw total energy   -8.821 eV per atom
Calculated volume   20.9 A^3/atom
Energy relative to the elements   -29 kJ/mol of atoms

Unit cell a=3.800 b=5.699 c=8.288 alpha=91.98 beta=117.29 gamma=109.47
Last column: magnetic moment on the atom in μB.
Element x y z (fractional)
Dy 0.004 0.749 0.630  0.00
Dy 0.996 0.251 0.370  0.00
U 0.580 0.326 0.917  0.07
U 0.420 0.674 0.083  0.07
Ru 0.000 0.000 0.000  -0.01
Ru 0.223 0.783 0.332  -0.01
Ru 0.777 0.217 0.668  -0.01

No. 6
Dy5U2Ru5: relaxed, GGA-PBE.

SG   No. 2
Raw total energy   -7.889 eV per atom
Calculated volume   22.5 A^3/atom
Energy relative to the elements   -22 kJ/mol of atoms

Unit cell a=4.893 b=5.093 c=11.946 alpha=91.74 beta=77.79 gamma=68.89
Last column: magnetic moment on the atom in μB.
Element x y z (fractional)
Dy 0.000 0.500 0.500  0.02
Dy 0.632 0.697 0.048  0.10
Dy 0.438 0.816 0.345  0.09
Dy 0.562 0.184 0.655  0.09
Dy 0.368 0.303 0.952  0.10
U 0.109 0.798 0.788  0.83
U 0.891 0.202 0.212  0.83
Ru 0.754 0.137 0.409  -0.07
Ru 0.943 0.363 0.799  -0.08
Ru 0.057 0.637 0.201  -0.08
Ru 0.246 0.863 0.591  -0.07
Ru 0.000 0.000 0.000  -0.05

No. 7
Dy3URu6: relaxed, GGA-PBE.

SG   No. 225
Raw total energy   -7.422 eV per atom
Calculated volume   22.3 A^3/atom
Energy relative to the elements   63 kJ/mol of atoms

Unit cell a=6.812 b=6.812 c=6.812 alpha=60.00 beta=60.00 gamma=60.00
Last column: magnetic moment on the atom in μB.
Element x y z (fractional)
Dy 0.750 0.750 0.750  -0.05
Dy 0.250 0.250 0.250  -0.05
Dy 0.500 0.500 0.500  -0.03
U 0.000 0.000 0.000  -0.12
Ru 0.758 0.758 0.242  0.28
Ru 0.242 0.758 0.758  0.28
Ru 0.242 0.758 0.242  0.28
Ru 0.758 0.242 0.242  0.28
Ru 0.758 0.242 0.758  0.28
Ru 0.242 0.242 0.758  0.28

No. 8
Dy2URu3: relaxed, GGA-PBE.

SG   No. 15
Raw total energy   -8.374 eV per atom
Calculated volume   20.5 A^3/atom
Energy relative to the lowest polymorph listed for this composition   0 meV per atom
Energy relative to the elements   -31 kJ/mol of atoms

Unit cell a=5.590 b=6.817 c=7.266 alpha=104.40 beta=112.62 gamma=90.00
Element x y z (fractional)
Dy 0.708 0.602 0.411
Dy 0.703 0.102 0.411
Dy 0.297 0.898 0.589
Dy 0.292 0.398 0.589
U 0.734 0.750 0.000
U 0.266 0.250 0.000
Ru 0.668 0.250 0.000
Ru 0.332 0.750 0.000
Ru 0.103 0.052 0.222
Ru 0.881 0.448 0.778
Ru 0.119 0.552 0.222
Ru 0.897 0.948 0.778

Question: Look up the calculated volume of the sixth one.
Answer: 22.5 A^3/atom

Question: Among the records above, which one has the highest calculated volume?
Answer: Dy4URu4

Question: The highest calculated volume belongs to which entry?
Answer: Dy4URu4